NaScSn2: relaxed, PBE-GGA.

Structure (CIF):
```
data_NaScSn2
_space_group_name_H-M_alt 'P 1'
_space_group_IT_number 1
_cell_length_a 3.451
_cell_length_b 3.451
_cell_length_c 10.188
_cell_angle_alpha 80.25
_cell_angle_beta 80.25
_cell_angle_gamma 60.00
loop_
_space_group_symop_operation_xyz
'x,y,z'
loop_
_atom_site_label
_atom_site_fract_x
_atom_site_fract_y
_atom_site_fract_z
Na1 0.500 0.500 0.500
Sn1 0.254 0.254 0.238
Sn2 0.746 0.746 0.762
Sc1 0.000 0.000 0.000
```

Computed properties:
density = 4.9 g cm⁻³
energy = -16.78 eV per cell

---

ReRuSe2F: relaxed, PBE-GGA.

Structure (CIF):
```
data_ReRuSe2F
_space_group_name_H-M_alt 'P 1'
_space_group_IT_number 1
_cell_length_a 4.661
_cell_length_b 5.385
_cell_length_c 4.661
_cell_angle_alpha 90.00
_cell_angle_beta 90.00
_cell_angle_gamma 90.00
loop_
_space_group_symop_operation_xyz
'x,y,z'
loop_
_atom_site_label
_atom_site_fract_x
_atom_site_fract_y
_atom_site_fract_z
Ru1 0.000 0.000 0.000
Re1 0.000 0.500 0.000
Se1 0.500 0.000 0.000
Se2 0.000 0.000 0.500
F1 0.500 0.500 0.500
```

Computed properties:
density = 6.6 g cm⁻³
E_form (uncorrected) = 0.96 eV per atom

---

HfScAlHg: relaxed, PBE-GGA.

Structure (CIF):
```
data_HfScAlHg
_space_group_name_H-M_alt 'P 1'
_space_group_IT_number 1
_cell_length_a 4.868
_cell_length_b 4.868
_cell_length_c 4.868
_cell_angle_alpha 60.00
_cell_angle_beta 60.00
_cell_angle_gamma 60.00
loop_
_space_group_symop_operation_xyz
'x,y,z'
loop_
_atom_site_label
_atom_site_fract_x
_atom_site_fract_y
_atom_site_fract_z
Al1 0.750 0.750 0.750
Sc1 0.000 0.000 0.000
Hf1 0.500 0.500 0.500
Hg1 0.250 0.250 0.250
```

Computed properties:
density = 9.2 g cm⁻³
energy = -21.20 eV per cell

---

Pr3NdDy4: relaxed, PBE-GGA.

Structure (CIF):
```
data_Pr3NdDy4
_space_group_name_H-M_alt 'P 1'
_space_group_IT_number 1
_cell_length_a 3.484
_cell_length_b 9.032
_cell_length_c 9.032
_cell_angle_alpha 81.36
_cell_angle_beta 78.88
_cell_angle_gamma 78.88
loop_
_space_group_symop_operation_xyz
'x,y,z'
loop_
_atom_site_label
_atom_site_fract_x
_atom_site_fract_y
_atom_site_fract_z
Pr1 0.758 0.242 0.242
Pr2 0.242 0.758 0.758
Pr3 0.000 0.500 0.500
Dy1 0.635 0.114 0.617
Dy2 0.365 0.383 0.886
Dy3 0.365 0.886 0.383
Dy4 0.635 0.617 0.114
Nd1 0.500 0.000 0.000
```

Computed properties:
density = 7.4 g cm⁻³
energy relative to the lowest polymorph listed for this composition = 100 meV per atom

---

Ce2SmZn2Ga2: relaxed, PBE-GGA.

Structure (CIF):
```
data_Ce2SmZn2Ga2
_space_group_name_H-M_alt 'P 1'
_space_group_IT_number 1
_cell_length_a 4.350
_cell_length_b 4.350
_cell_length_c 9.524
_cell_angle_alpha 76.80
_cell_angle_beta 76.80
_cell_angle_gamma 60.00
loop_
_space_group_symop_operation_xyz
'x,y,z'
loop_
_atom_site_label
_atom_site_fract_x
_atom_site_fract_y
_atom_site_fract_z
Ga1 0.262 0.262 0.213
Ga2 0.738 0.738 0.787
Ce1 0.142 0.142 0.573
Ce2 0.858 0.858 0.427
Zn1 0.595 0.595 0.215
Zn2 0.405 0.405 0.785
Sm1 0.000 0.000 0.000
```

Computed properties:
density = 7.7 g cm⁻³
energy = -28.21 eV per cell

---

CrHg2Ru: relaxed, PBE-GGA.

Structure (CIF):
```
data_CrHg2Ru
_space_group_name_H-M_alt 'P 1'
_space_group_IT_number 1
_cell_length_a 5.464
_cell_length_b 5.464
_cell_length_c 4.890
_cell_angle_alpha 70.15
_cell_angle_beta 70.15
_cell_angle_gamma 31.77
loop_
_space_group_symop_operation_xyz
'x,y,z'
loop_
_atom_site_label
_atom_site_fract_x
_atom_site_fract_y
_atom_site_fract_z
Cr1 0.220 0.220 0.235
Ru1 0.529 0.529 0.518
Hg1 0.768 0.768 0.698
Hg2 0.983 0.983 0.049
```

Computed properties:
density = 12.8 g cm⁻³
energy relative to the lowest polymorph listed for this composition = 211 meV per atom

---

Ti3TlRh: relaxed, PBE-GGA.

Structure (CIF):
```
data_Ti3TlRh
_space_group_name_H-M_alt 'P 1'
_space_group_IT_number 1
_cell_length_a 4.744
_cell_length_b 4.744
_cell_length_c 4.744
_cell_angle_alpha 90.00
_cell_angle_beta 90.00
_cell_angle_gamma 90.00
loop_
_space_group_symop_operation_xyz
'x,y,z'
loop_
_atom_site_label
_atom_site_fract_x
_atom_site_fract_y
_atom_site_fract_z
Tl1 0.500 0.500 0.500
Ti1 0.000 0.000 0.500
Ti2 0.500 0.000 0.000
Ti3 0.000 0.500 0.000
Rh1 0.000 0.000 0.000
```

Computed properties:
density = 7.0 g cm⁻³
energy relative to the lowest polymorph listed for this composition = 0 meV per atom

---

Na7LiTl4: relaxed, PBE-GGA.

Structure (CIF):
```
data_Na7LiTl4
_space_group_name_H-M_alt 'P 1'
_space_group_IT_number 1
_cell_length_a 5.788
_cell_length_b 6.978
_cell_length_c 11.303
_cell_angle_alpha 74.81
_cell_angle_beta 54.21
_cell_angle_gamma 90.87
loop_
_space_group_symop_operation_xyz
'x,y,z'
loop_
_atom_site_label
_atom_site_fract_x
_atom_site_fract_y
_atom_site_fract_z
Tl1 0.466 0.861 0.746
Tl2 0.534 0.139 0.254
Tl3 0.499 0.389 0.744
Tl4 0.501 0.611 0.256
Li1 0.000 0.000 0.000
Na1 0.132 0.749 0.569
Na2 0.500 0.000 0.000
Na3 0.868 0.251 0.431
Na4 0.854 0.781 0.376
Na5 0.159 0.484 0.081
Na6 0.146 0.219 0.624
Na7 0.841 0.516 0.919
```

Computed properties:
density = 4.7 g cm⁻³
energy = -21.45 eV per cell

---

LiTbTh2Se5: relaxed, PBE-GGA.

Structure (CIF):
```
data_LiTbTh2Se5
_space_group_name_H-M_alt 'P 1'
_space_group_IT_number 1
_cell_length_a 4.047
_cell_length_b 8.869
_cell_length_c 12.565
_cell_angle_alpha 90.00
_cell_angle_beta 90.00
_cell_angle_gamma 103.19
loop_
_space_group_symop_operation_xyz
'x,y,z'
loop_
_atom_site_label
_atom_site_fract_x
_atom_site_fract_y
_atom_site_fract_z
Se1 0.500 0.999 0.288
Se2 0.500 0.001 0.788
Se3 0.956 0.913 0.576
Se4 0.044 0.087 0.076
Se5 0.308 0.616 0.338
Se6 0.711 0.422 0.161
Se7 0.640 0.279 0.498
Se8 0.692 0.384 0.838
Se9 0.289 0.578 0.661
Se10 0.360 0.721 0.998
Li1 0.509 0.018 0.983
Li2 0.491 0.982 0.483
Th1 0.871 0.743 0.798
Th2 0.111 0.221 0.682
Th3 0.889 0.779 0.182
Th4 0.129 0.257 0.298
Tb1 0.194 0.389 0.000
Tb2 0.806 0.611 0.500
```

Computed properties:
density = 7.8 g cm⁻³
E_form (uncorrected) = -1.61 eV per atom

---

K4Ce3NdTe8: relaxed, PBE-GGA.

Structure (CIF):
```
data_K4Ce3NdTe8
_space_group_name_H-M_alt 'P 1'
_space_group_IT_number 1
_cell_length_a 9.300
_cell_length_b 9.822
_cell_length_c 9.300
_cell_angle_alpha 118.25
_cell_angle_beta 120.00
_cell_angle_gamma 90.00
loop_
_space_group_symop_operation_xyz
'x,y,z'
loop_
_atom_site_label
_atom_site_fract_x
_atom_site_fract_y
_atom_site_fract_z
Ce1 0.500 0.500 0.500
Ce2 0.500 0.500 0.000
Ce3 0.000 0.500 0.500
Te1 0.762 0.286 0.525
Te2 0.739 0.714 0.976
Te3 0.738 0.714 0.476
Te4 0.262 0.286 0.524
Te5 0.762 0.286 0.024
Te6 0.238 0.714 0.475
Te7 0.238 0.714 0.976
Te8 0.261 0.286 0.024
K1 0.500 0.000 0.000
K2 0.500 0.000 0.500
K3 0.000 0.000 0.000
K4 0.000 0.000 0.500
Nd1 0.000 0.500 0.000
```

Computed properties:
density = 4.7 g cm⁻³
E_form (uncorrected) = -1.36 eV per atom

---

Cs2ThAg2Se4: relaxed, PBE-GGA.

Structure (CIF):
```
data_Cs2ThAg2Se4
_space_group_name_H-M_alt 'P 1'
_space_group_IT_number 1
_cell_length_a 4.412
_cell_length_b 8.572
_cell_length_c 8.272
_cell_angle_alpha 107.89
_cell_angle_beta 105.47
_cell_angle_gamma 90.00
loop_
_space_group_symop_operation_xyz
'x,y,z'
loop_
_atom_site_label
_atom_site_fract_x
_atom_site_fract_y
_atom_site_fract_z
Se1 0.191 0.177 0.382
Se2 0.513 0.776 0.026
Se3 0.487 0.224 0.974
Se4 0.809 0.823 0.618
Ag1 0.680 0.986 0.360
Ag2 0.320 0.014 0.640
Th1 0.000 0.000 0.000
Cs1 0.138 0.572 0.275
Cs2 0.862 0.428 0.725
```

Computed properties:
density = 6.0 g cm⁻³
E_form (uncorrected) = -1.14 eV per atom

---

TaSi3Hg: relaxed, PBE-GGA.

Structure (CIF):
```
data_TaSi3Hg
_space_group_name_H-M_alt 'P 1'
_space_group_IT_number 1
_cell_length_a 4.956
_cell_length_b 4.956
_cell_length_c 4.956
_cell_angle_alpha 90.00
_cell_angle_beta 90.00
_cell_angle_gamma 90.00
loop_
_space_group_symop_operation_xyz
'x,y,z'
loop_
_atom_site_label
_atom_site_fract_x
_atom_site_fract_y
_atom_site_fract_z
Hg1 0.500 0.500 0.500
Si1 0.000 0.500 0.000
Si2 0.500 0.000 0.000
Si3 0.000 0.000 0.500
Ta1 0.000 0.000 0.000
```

Computed properties:
density = 6.4 g cm⁻³
E_form (uncorrected) = 0.62 eV per atom
energy relative to the lowest polymorph listed for this composition = 0 meV per atom